# CuCCl2

An optimized crystal structure of CuCCl2 (PBE, Alexandria via LeMat-Bulk).

abc: 4.3980 4.3980 4.3980
angles: 60.00 60.00 60.00
Fractional positions:
Cu 0.0000 0.0000 0.0000
C 0.5000 0.5000 0.5000
Cl 0.2500 0.2500 0.2500
Cl 0.7500 0.7500 0.7500

Results
energy above the most stable polymorph in this dataset: 356.2 meV per atom
uncorrected formation energy: 1603 meV per atom
DOS at the Fermi energy: 2.078 states/eV/cell
space-group type: No. 225
volume: 15.04 A^3/atom
total magnetic moment: 0.0 μB/cell

***

# CuCCl2

An optimized crystal structure of CuCCl2 (PBE, Alexandria via LeMat-Bulk).

abc: 6.9992 6.9992 6.9992
angles: 32.51 32.51 32.51
Fractional positions:
Cu 0.0000 0.0000 0.0000
C 0.5000 0.5000 0.5000
Cl 0.1055 0.1055 0.1055
Cl 0.8945 0.8945 0.8945

Results
energy above the most stable polymorph in this dataset: 100.1 meV per atom
uncorrected formation energy: 1347 meV per atom
DOS at the Fermi energy: 1.883 states/eV/cell
space-group type: No. 166
volume: 22.02 A^3/atom
total magnetic moment: 1.0 μB/cell

***

# CuCCl3

An optimized crystal structure of CuCCl3 (PBE, Alexandria via LeMat-Bulk).

abc: 4.6681 4.6681 4.6681
angles: 90.00 90.00 90.00
Fractional positions:
Cu 0.0000 0.0000 0.0000
C 0.5000 0.5000 0.5000
Cl 0.0000 0.0000 0.5000
Cl 0.0000 0.5000 0.0000
Cl 0.5000 0.0000 0.0000

Results
energy above the most stable polymorph in this dataset: 223.2 meV per atom
uncorrected formation energy: 1236 meV per atom
DOS at the Fermi energy: 3.285 states/eV/cell
space-group type: No. 221
volume: 20.34 A^3/atom
total magnetic moment: 1.1 μB/cell

***

# CuH8C2NCl3

An optimized crystal structure of CuH8C2NCl3 (PBE, Alexandria via LeMat-Bulk).

abc: 8.9174 9.8597 10.7823
angles: 72.15 68.40 63.90
Fractional positions:
Cu 0.0766 0.1486 0.4343
Cu 0.1458 0.3558 0.0822
Cu 0.8542 0.6442 0.9178
Cu 0.9234 0.8514 0.5657
H 0.0879 0.6819 0.2497
H 0.1081 0.0750 0.8040
H 0.1874 0.9843 0.9515
H 0.2122 0.5233 0.4318
H 0.2119 0.7620 0.2846
H 0.2168 0.8714 0.8350
H 0.2854 0.2403 0.7491
H 0.2893 0.4328 0.3000
H 0.3017 0.6654 0.1416
H 0.3765 0.1318 0.8896
H 0.3984 0.0049 0.6646
H 0.4450 0.5173 0.7745
H 0.4740 0.5730 0.3709
H 0.4789 0.9018 0.7974
H 0.4801 0.6281 0.6074
H 0.4830 0.8564 0.2795
H 0.5170 0.1436 0.7205
H 0.5199 0.3719 0.3926
H 0.5211 0.0982 0.2026
H 0.5260 0.4270 0.6291
H 0.5550 0.4827 0.2255
H 0.6016 0.9951 0.3354
H 0.6235 0.8682 0.1104
H 0.6983 0.3346 0.8584
H 0.7107 0.5672 0.7000
H 0.7146 0.7597 0.2509
H 0.7832 0.1286 0.1650
H 0.7881 0.2380 0.7154
H 0.7878 0.4767 0.5682
H 0.8126 0.0157 0.0485
H 0.8919 0.9250 0.1960
H 0.9121 0.3181 0.7503
C 0.2108 0.9809 0.8452
C 0.2180 0.6688 0.2456
C 0.3900 0.1395 0.7827
C 0.4732 0.4844 0.3302
C 0.5268 0.5156 0.6698
C 0.6100 0.8605 0.2173
C 0.7820 0.3312 0.7544
C 0.7892 0.0191 0.1548
N 0.2918 0.5205 0.3323
N 0.3792 0.9996 0.7669
N 0.6208 0.0004 0.2331
N 0.7082 0.4795 0.6677
Cl 0.0528 0.5911 0.6303
Cl 0.0865 0.6120 0.9847
Cl 0.1838 0.8849 0.5140
Cl 0.1889 0.1058 0.1735
Cl 0.2944 0.1728 0.4777
Cl 0.4081 0.3305 0.0893
Cl 0.5919 0.6695 0.9107
Cl 0.7056 0.8272 0.5223
Cl 0.8111 0.8942 0.8265
Cl 0.8162 0.1151 0.4860
Cl 0.9135 0.3880 0.0153
Cl 0.9472 0.4089 0.3697

Results
DOS at the Fermi energy: 1.307 states/eV/cell
space-group type: No. 2
DFT total energy: -0.169 hartree per atom
volume: 12.99 A^3/atom
total magnetic moment: 4.1 μB/cell